The following is a DFT calculation (PBE with a Hubbard U) of crystalline Pm2MnNbO6 at its relaxed geometry.

**Calculated total energy**: -8.288 eV per atom
**Fermi-level density of states**: 1.808 states/eV per cell

Cell: 5.3462 5.3462 5.2135 Å, 90.00 90.00 90.00°
Positions (direct):
Pm (0.0000, 0.5000, 0.0000)
Pm (0.5000, 0.0000, 0.0000)
Mn (0.0000, 0.0000, 0.5621)
Nb (0.5000, 0.5000, 0.5716)
O (0.0000, 0.0000, 0.1734)
O (0.2575, 0.2575, 0.7396)
O (0.2575, 0.7425, 0.7396)
O (0.5000, 0.5000, 0.2046)
O (0.7425, 0.2575, 0.7396)
O (0.7425, 0.7425, 0.7396)